Record 1
{
  "formula": "TbSmMg3",
  "functional": "PBE",
  "state": "relaxed",
  "e_above_lowest_polymorph_mev_per_atom": 57,
  "mass_density_g_cm3": 4.53,
  "dos_at_fermi_per_ev_cell": 10.80,
  "crystal_system": "trigonal",
  "spacegroup": "R-3m, No. 166",
  "vol_a3_per_atom": 28.02,
  "formation_enthalpy_0k_ev_per_atom": 0.02,
  "lattice_angstrom": [[3.122, 1.803, 8.298], [-3.122, 1.803, 8.298], [0.000, -3.605, 8.298]],
  "species": ["Tb", "Tb", "Sm", "Sm", "Mg", "Mg", "Mg", "Mg", "Mg", "Mg"],
  "frac_coords": [[0.165, 0.165, 0.165], [0.835, 0.835, 0.835], [0.432, 0.432, 0.432], [0.568, 0.568, 0.568], [0.122, 0.122, 0.611], [0.122, 0.611, 0.122], [0.389, 0.878, 0.878], [0.611, 0.122, 0.122], [0.878, 0.389, 0.878], [0.878, 0.878, 0.389]]
}

=====

Record 2
{
  "formula": "RbCo3Ag",
  "functional": "PBE",
  "state": "relaxed",
  "e_above_lowest_polymorph_mev_per_atom": 999,
  "mass_density_g_cm3": 6.18,
  "dos_at_fermi_per_ev_cell": 13.44,
  "crystal_system": "cubic",
  "spacegroup": "Pm-3m, No. 221",
  "vol_a3_per_atom": 19.88,
  "formation_enthalpy_0k_ev_per_atom": 2.50,
  "lattice_angstrom": [[4.632, 0.000, 0.000], [0.000, 4.632, 0.000], [0.000, 0.000, 4.632]],
  "species": ["Rb", "Co", "Co", "Co", "Ag"],
  "frac_coords": [[0.000, 0.000, 0.000], [0.000, 0.000, 0.500], [0.000, 0.500, 0.000], [0.500, 0.000, 0.000], [0.500, 0.500, 0.500]]
}

=====

Record 3
{
  "formula": "BaLiCaHg",
  "functional": "PBE",
  "state": "relaxed",
  "e_above_lowest_polymorph_mev_per_atom": 16,
  "mass_density_g_cm3": 4.80,
  "dos_at_fermi_per_ev_cell": 3.76,
  "crystal_system": "cubic",
  "spacegroup": "F-43m, No. 216",
  "vol_a3_per_atom": 33.31,
  "formation_enthalpy_0k_ev_per_atom": -0.25,
  "lattice_angstrom": [[0.000, 4.054, 4.054], [4.054, 0.000, 4.054], [4.054, 4.054, 0.000]],
  "species": ["Ba", "Li", "Ca", "Hg"],
  "frac_coords": [[0.000, 0.000, 0.000], [0.250, 0.250, 0.250], [0.500, 0.500, 0.500], [0.750, 0.750, 0.750]]
}

=====

Record 4
{
  "formula": "La6Co2GeI3",
  "functional": "PBE",
  "state": "relaxed",
  "mass_density_g_cm3": 6.05,
  "dos_at_fermi_per_ev_cell": 12.37,
  "crystal_system": "monoclinic",
  "spacegroup": "C2/m, No. 12",
  "formation_energy_uncorrected_ev_per_atom": -0.77,
  "vol_a3_per_atom": 32.14,
  "lattice_angstrom": [[3.652, -6.548, 0.000], [3.652, 6.548, 0.000], [-2.350, 0.000, 8.064]],
  "species": ["La", "La", "La", "La", "La", "La", "Co", "Co", "Ge", "I", "I", "I"],
  "frac_coords": [[0.067, 0.414, 0.819], [0.219, 0.219, 0.195], [0.414, 0.067, 0.819], [0.586, 0.933, 0.181], [0.781, 0.781, 0.805], [0.933, 0.586, 0.181], [0.167, 0.833, 0.000], [0.833, 0.167, 0.000], [0.500, 0.500, 0.000], [0.000, 0.000, 0.500], [0.335, 0.665, 0.500], [0.665, 0.335, 0.500]]
}

=====

Record 5
{
  "formula": "NbTe2AuBr",
  "functional": "PBE",
  "state": "relaxed",
  "mass_density_g_cm3": 6.82,
  "dos_at_fermi_per_ev_cell": 6.13,
  "crystal_system": "tetragonal",
  "spacegroup": "P4/mmm, No. 123",
  "formation_energy_uncorrected_ev_per_atom": 0.29,
  "vol_a3_per_atom": 30.41,
  "lattice_angstrom": [[5.378, 0.000, 0.000], [0.000, 5.378, 0.000], [0.000, 0.000, 5.257]],
  "species": ["Nb", "Te", "Te", "Au", "Br"],
  "frac_coords": [[0.000, 0.000, 0.000], [0.000, 0.500, 0.000], [0.500, 0.000, 0.000], [0.000, 0.000, 0.500], [0.500, 0.500, 0.500]]
}

=====

Record 6
{
  "formula": "TiCoHRh2",
  "functional": "PBE",
  "state": "relaxed",
  "e_above_lowest_polymorph_mev_per_atom": 85,
  "mass_density_g_cm3": 9.14,
  "dos_at_fermi_per_ev_cell": 4.74,
  "crystal_system": "tetragonal",
  "spacegroup": "P4/mmm, No. 123",
  "vol_a3_per_atom": 11.39,
  "lattice_angstrom": [[3.833, 0.000, 0.000], [0.000, 3.833, 0.000], [0.000, 0.000, 3.877]],
  "species": ["Ti", "Co", "H", "Rh", "Rh"],
  "frac_coords": [[0.000, 0.000, 0.000], [0.500, 0.500, 0.000], [0.000, 0.000, 0.500], [0.000, 0.500, 0.500], [0.500, 0.000, 0.500]]
}

=====

Record 7
{
  "formula": "KNiBr2",
  "functional": "PBE",
  "state": "relaxed",
  "e_above_lowest_polymorph_mev_per_atom": 0,
  "mass_density_g_cm3": 3.86,
  "dos_at_fermi_per_ev_cell": 5.00,
  "crystal_system": "tetragonal",
  "spacegroup": "I-42d, No. 122",
  "formation_energy_uncorrected_ev_per_atom": -0.77,
  "vol_a3_per_atom": 27.71,
  "lattice_angstrom": [[-3.822, 3.822, 3.793], [3.822, -3.822, 3.793], [3.822, 3.822, -3.793]],
  "species": ["K", "K", "Ni", "Ni", "Br", "Br", "Br", "Br"],
  "frac_coords": [[0.000, 0.000, 0.000], [0.750, 0.250, 0.500], [0.250, 0.750, 0.500], [0.500, 0.500, 0.000], [0.220, 0.125, 0.595], [0.375, 0.780, 0.905], [0.530, 0.625, 0.405], [0.875, 0.470, 0.095]]
}

=====

Record 8
{
  "formula": "YAgP2",
  "functional": "PBE",
  "state": "relaxed",
  "mass_density_g_cm3": 4.84,
  "dos_at_fermi_per_ev_cell": 0.21,
  "crystal_system": "trigonal",
  "spacegroup": "R3m, No. 160",
  "vol_a3_per_atom": 22.19,
  "formation_enthalpy_0k_ev_per_atom": -0.52,
  "lattice_angstrom": [[2.174, 1.255, 5.424], [-2.174, 1.255, 5.424], [0.000, -2.510, 5.424]],
  "species": ["Y", "Ag", "P", "P"],
  "frac_coords": [[0.000, 0.000, 0.000], [0.201, 0.201, 0.201], [0.591, 0.591, 0.591], [0.738, 0.738, 0.738]]
}

=====

Record 9
{
  "formula": "Mg2InAs",
  "functional": "PBE",
  "state": "relaxed",
  "e_above_lowest_polymorph_mev_per_atom": 155,
  "mass_density_g_cm3": 4.59,
  "dos_at_fermi_per_ev_cell": 1.73,
  "crystal_system": "orthorhombic",
  "spacegroup": "Cmmm, No. 65",
  "vol_a3_per_atom": 21.56,
  "formation_enthalpy_0k_ev_per_atom": -0.12,
  "lattice_angstrom": [[3.377, -4.045, 0.000], [3.377, 4.045, 0.000], [0.000, 0.000, 3.156]],
  "species": ["Mg", "Mg", "In", "As"],
  "frac_coords": [[0.000, 0.500, 0.000], [0.500, 0.000, 0.000], [0.000, 0.000, 0.500], [0.500, 0.500, 0.500]]
}

=====

Record 10
{
  "formula": "BaLiRh",
  "functional": "PBE",
  "state": "relaxed",
  "e_above_lowest_polymorph_mev_per_atom": 5,
  "mass_density_g_cm3": 4.84,
  "dos_at_fermi_per_ev_cell": 6.07,
  "crystal_system": "monoclinic",
  "spacegroup": "C2/m, No. 12",
  "vol_a3_per_atom": 28.28,
  "formation_enthalpy_0k_ev_per_atom": -0.05,
  "lattice_angstrom": [[3.899, -2.251, 0.000], [3.899, 2.251, 0.000], [-0.019, 0.000, 9.667]],
  "species": ["Ba", "Ba", "Li", "Li", "Rh", "Rh"],
  "frac_coords": [[0.168, 0.168, 0.296], [0.832, 0.832, 0.704], [0.500, 0.500, 0.108], [0.500, 0.500, 0.892], [0.167, 0.167, 0.978], [0.833, 0.833, 0.022]]
}

=====

Record 11
{
  "formula": "YZr4Pb",
  "functional": "PBE",
  "state": "relaxed",
  "mass_density_g_cm3": 7.27,
  "dos_at_fermi_per_ev_cell": 9.36,
  "crystal_system": "cubic",
  "spacegroup": "F-43m, No. 216",
  "vol_a3_per_atom": 25.15,
  "formation_enthalpy_0k_ev_per_atom": 0.15,
  "lattice_angstrom": [[0.000, 4.226, 4.226], [4.226, 0.000, 4.226], [4.226, 4.226, 0.000]],
  "species": ["Y", "Zr", "Zr", "Zr", "Zr", "Pb"],
  "frac_coords": [[0.000, 0.000, 0.000], [0.115, 0.628, 0.628], [0.628, 0.115, 0.628], [0.628, 0.628, 0.115], [0.628, 0.628, 0.628], [0.250, 0.250, 0.250]]
}

=====

Record 12
{
  "formula": "ThTaTe2",
  "functional": "PBE",
  "state": "relaxed",
  "mass_density_g_cm3": 9.89,
  "dos_at_fermi_per_ev_cell": 4.94,
  "crystal_system": "trigonal",
  "spacegroup": "R-3m, No. 166",
  "formation_energy_uncorrected_ev_per_atom": -0.14,
  "vol_a3_per_atom": 28.04,
  "lattice_angstrom": [[1.773, 1.023, 10.303], [-1.773, 1.023, 10.303], [0.000, -2.047, 10.303]],
  "species": ["Th", "Ta", "Te", "Te"],
  "frac_coords": [[0.000, 0.000, 0.000], [0.500, 0.500, 0.500], [0.105, 0.105, 0.105], [0.895, 0.895, 0.895]]
}

=====

Record 13
{
  "formula": "Tm2Tl2IrO6",
  "functional": "PBE",
  "state": "relaxed",
  "mass_density_g_cm3": 9.23,
  "dos_at_fermi_per_ev_cell": 6.69,
  "crystal_system": "monoclinic",
  "spacegroup": "C2/m, No. 12",
  "formation_energy_uncorrected_ev_per_atom": -1.90,
  "vol_a3_per_atom": 16.92,
  "lattice_angstrom": [[2.852, -4.960, 0.000], [2.852, 4.960, 0.000], [-1.660, 0.000, 6.576]],
  "species": ["Tm", "Tm", "Tl", "Tl", "Ir", "O", "O", "O", "O", "O", "O"],
  "frac_coords": [[0.165, 0.835, 0.000], [0.835, 0.165, 0.000], [0.337, 0.663, 0.500], [0.663, 0.337, 0.500], [0.500, 0.500, 0.000], [0.141, 0.457, 0.838], [0.242, 0.242, 0.169], [0.457, 0.141, 0.838], [0.543, 0.859, 0.162], [0.758, 0.758, 0.831], [0.859, 0.543, 0.162]]
}

=====

Record 14
{
  "formula": "HfNbN",
  "functional": "PBE",
  "state": "relaxed",
  "e_above_lowest_polymorph_mev_per_atom": 53,
  "mass_density_g_cm3": 10.76,
  "dos_at_fermi_per_ev_cell": 1.17,
  "crystal_system": "monoclinic",
  "spacegroup": "C2/m, No. 12",
  "formation_energy_uncorrected_ev_per_atom": -1.07,
  "vol_a3_per_atom": 14.69,
  "lattice_angstrom": [[5.737, -1.587, 0.000], [5.737, 1.587, 0.000], [-2.627, 0.000, 4.840]],
  "species": ["Hf", "Hf", "Nb", "Nb", "N", "N"],
  "frac_coords": [[0.122, 0.122, 0.293], [0.878, 0.878, 0.707], [0.372, 0.372, 0.205], [0.628, 0.628, 0.795], [0.251, 0.251, 0.748], [0.749, 0.749, 0.252]]
}

=====

Record 15
{
  "formula": "CsP2O2",
  "functional": "PBE",
  "state": "relaxed",
  "e_above_lowest_polymorph_mev_per_atom": 1270,
  "mass_density_g_cm3": 2.78,
  "dos_at_fermi_per_ev_cell": 3.34,
  "crystal_system": "tetragonal",
  "spacegroup": "P4/mmm, No. 123",
  "formation_energy_uncorrected_ev_per_atom": 1.20,
  "vol_a3_per_atom": 27.05,
  "lattice_angstrom": [[4.160, 0.000, 0.000], [0.000, 4.160, 0.000], [0.000, 0.000, 7.815]],
  "species": ["Cs", "P", "P", "O", "O"],
  "frac_coords": [[0.000, 0.000, 0.000], [0.000, 0.000, 0.500], [0.500, 0.500, 0.500], [0.000, 0.500, 0.000], [0.500, 0.000, 0.000]]
}

=====

Record 16
{
  "formula": "NaPuTl2S4",
  "functional": "PBE",
  "state": "relaxed",
  "mass_density_g_cm3": 6.40,
  "dos_at_fermi_per_ev_cell": 6.51,
  "crystal_system": "monoclinic",
  "spacegroup": "P2/m, No. 10",
  "formation_energy_uncorrected_ev_per_atom": -0.87,
  "vol_a3_per_atom": 26.07,
  "lattice_angstrom": [[7.059, 0.000, 0.000], [0.000, 4.065, 0.000], [-2.260, 0.000, 7.268]],
  "species": ["Na", "Pu", "Tl", "Tl", "S", "S", "S", "S"],
  "frac_coords": [[0.000, 0.000, 0.000], [0.500, 0.500, 0.000], [0.000, 0.500, 0.500], [0.500, 0.000, 0.500], [0.273, 0.500, 0.206], [0.289, 0.000, 0.801], [0.711, 0.000, 0.199], [0.727, 0.500, 0.794]]
}

=====

Record 17
{
  "formula": "Tb2PmNpSb4",
  "functional": "PBE",
  "state": "relaxed",
  "mass_density_g_cm3": 8.04,
  "dos_at_fermi_per_ev_cell": 11.57,
  "crystal_system": "monoclinic",
  "spacegroup": "P2/m, No. 10",
  "formation_energy_uncorrected_ev_per_atom": -0.91,
  "vol_a3_per_atom": 30.64,
  "lattice_angstrom": [[7.660, 0.000, 0.000], [0.000, 4.424, 0.000], [-2.540, 0.000, 7.233]],
  "species": ["Tb", "Tb", "Pm", "Np", "Sb", "Sb", "Sb", "Sb"],
  "frac_coords": [[0.000, 0.000, 0.000], [0.000, 0.500, 0.500], [0.500, 0.000, 0.500], [0.500, 0.500, 0.000], [0.247, 0.500, 0.245], [0.248, 0.000, 0.752], [0.752, 0.000, 0.248], [0.753, 0.500, 0.755]]
}

=====

Record 18
{
  "formula": "Rb2POsI6",
  "functional": "PBE",
  "state": "relaxed",
  "mass_density_g_cm3": 5.16,
  "dos_at_fermi_per_ev_cell": 9.85,
  "crystal_system": "tetragonal",
  "spacegroup": "I4/mmm, No. 139",
  "formation_energy_uncorrected_ev_per_atom": -0.26,
  "vol_a3_per_atom": 37.09,
  "lattice_angstrom": [[-4.028, 4.028, 5.714], [4.028, -4.028, 5.714], [4.028, 4.028, -5.714]],
  "species": ["Rb", "Rb", "P", "Os", "I", "I", "I", "I", "I", "I"],
  "frac_coords": [[0.250, 0.750, 0.500], [0.750, 0.250, 0.500], [0.000, 0.000, 0.000], [0.500, 0.500, 0.000], [0.257, 0.257, 0.514], [0.257, 0.743, 0.000], [0.258, 0.258, 0.000], [0.742, 0.742, 0.000], [0.743, 0.257, 0.000], [0.743, 0.743, 0.486]]
}

=====

Record 19
{
  "formula": "BaTl2In2",
  "functional": "PBE",
  "state": "relaxed",
  "e_above_lowest_polymorph_mev_per_atom": 127,
  "mass_density_g_cm3": 7.97,
  "dos_at_fermi_per_ev_cell": 6.32,
  "crystal_system": "tetragonal",
  "spacegroup": "P4/mbm, No. 127",
  "vol_a3_per_atom": 32.34,
  "formation_enthalpy_0k_ev_per_atom": -0.16,
  "lattice_angstrom": [[9.127, 0.000, 0.000], [0.000, 9.127, 0.000], [0.000, 0.000, 3.882]],
  "species": ["Ba", "Ba", "Tl", "Tl", "Tl", "Tl", "In", "In", "In", "In"],
  "frac_coords": [[0.000, 0.000, 0.000], [0.500, 0.500, 0.000], [0.130, 0.370, 0.000], [0.370, 0.870, 0.000], [0.630, 0.130, 0.000], [0.870, 0.630, 0.000], [0.163, 0.663, 0.500], [0.337, 0.163, 0.500], [0.663, 0.837, 0.500], [0.837, 0.337, 0.500]]
}

=====

Record 20
{
  "formula": "MgV3Br",
  "functional": "PBE",
  "state": "relaxed",
  "e_above_lowest_polymorph_mev_per_atom": 0,
  "mass_density_g_cm3": 4.59,
  "dos_at_fermi_per_ev_cell": 4.87,
  "crystal_system": "cubic",
  "spacegroup": "Pm-3m, No. 221",
  "formation_energy_uncorrected_ev_per_atom": 0.93,
  "vol_a3_per_atom": 18.61,
  "lattice_angstrom": [[4.531, 0.000, 0.000], [0.000, 4.531, 0.000], [0.000, 0.000, 4.531]],
  "species": ["Mg", "V", "V", "V", "Br"],
  "frac_coords": [[0.000, 0.000, 0.000], [0.000, 0.500, 0.500], [0.500, 0.000, 0.500], [0.500, 0.500, 0.000], [0.500, 0.500, 0.500]]
}